No. 1
Crystalline AsW5 at its relaxed geometry. Source: Alexandria, functional GGA-PBE.

Cell and atoms, written as extended XYZ:
```
6
Lattice="0.000 3.728 3.728 3.728 0.000 3.728 3.728 3.728 0.000" Properties=species:S:1:pos:R:3 pbc="T T T"
As 0.000 0.000 0.000
W 2.796 2.796 2.796
W 4.659 4.659 2.796
W 4.659 2.796 4.659
W 5.592 5.592 5.592
W 2.796 4.659 4.659
```


No. 2
Crystalline As3W2 at its relaxed geometry. Source: Alexandria, functional GGA-PBE.

Cell and atoms, written as extended XYZ:
```
10
Lattice="0.000 6.916 2.409 5.385 0.000 2.409 5.385 6.916 0.000" Properties=species:S:1:pos:R:3 pbc="T T T"
As 0.000 0.000 0.000
As 6.550 4.465 1.415
As 2.693 3.458 1.204
As 6.913 7.923 2.620
As 4.221 9.367 1.415
As 3.857 5.909 2.620
W 8.256 5.813 2.687
W 5.564 4.561 3.892
W 2.514 8.019 2.687
W 5.206 9.271 3.892
```


No. 3
Crystalline As2W at its relaxed geometry. Source: Alexandria, functional GGA-PBE.

Cell and atoms, written as extended XYZ:
```
6
Lattice="5.700 0.000 0.000 0.000 6.569 0.000 0.000 0.000 3.087" Properties=species:S:1:pos:R:3 pbc="T T T"
As 1.065 0.913 0.000
As 1.785 4.197 1.543
As 3.915 2.372 1.543
As 4.635 5.656 0.000
W 0.000 3.285 0.000
W 2.850 0.000 1.543
```


No. 4
Crystalline As2W at its relaxed geometry. Source: Alexandria, functional GGA-PBE.

Cell and atoms, written as extended XYZ:
```
6
Lattice="4.652 0.000 0.000 -2.326 4.028 0.000 0.000 0.000 5.471" Properties=species:S:1:pos:R:3 pbc="T T T"
As 0.000 0.000 0.000
As 0.000 0.000 2.736
As 0.000 2.686 1.368
As 2.326 1.343 4.104
W 0.000 2.686 4.104
W 2.326 1.343 1.368
```


No. 5
Crystalline As3W at its relaxed geometry. Source: Alexandria, functional GGA-PBE.

Cell and atoms, written as extended XYZ:
```
4
Lattice="4.130 0.000 0.000 0.000 4.130 0.000 0.000 0.000 4.130" Properties=species:S:1:pos:R:3 pbc="T T T"
As 0.000 0.000 2.065
As 0.000 2.065 0.000
As 2.065 0.000 0.000
W 2.065 2.065 2.065
```


No. 6
Crystalline As2W at its relaxed geometry. Source: Alexandria, functional GGA-PBE.

Cell and atoms, written as extended XYZ:
```
6
Lattice="1.680 -6.278 0.000 1.680 6.278 0.000 0.000 0.000 4.661" Properties=species:S:1:pos:R:3 pbc="T T T"
As 1.680 5.489 3.496
As 1.680 2.949 1.165
As 1.680 -2.949 3.496
As 1.680 -5.489 1.165
W 1.680 1.239 3.496
W 1.680 -1.239 1.165
```


How do the records compare in E_form? In the order shown, they have 68 27 13 68 82 32 kJ/mol of atoms.